Density functional theory data (PBE) for a geometry-optimized Nd2GaCu4Ge3 structure.

Cell: 4.1803 4.1803 10.2070 Å, 90.00 90.00 90.00°
Fractional positions:
Nd (0.0000, 0.5000, 0.2455)
Nd (0.5000, 0.0000, 0.7545)
Ga (0.0000, 0.0000, 0.5000)
Cu (0.0000, 0.0000, 0.0000)
Cu (0.0000, 0.5000, 0.6335)
Cu (0.5000, 0.0000, 0.3665)
Cu (0.5000, 0.5000, 0.0000)
Ge (0.0000, 0.5000, 0.8694)
Ge (0.5000, 0.0000, 0.1306)
Ge (0.5000, 0.5000, 0.5000)

Computed properties:
As for the uncorrected energy: -0.1764 hartree per atom. The calculation puts the volume at 17.8 Å³/atom. The space-group type is P-4m2. Its formation energy from the elements is -0.52 eV/atom. The calculation puts the magnetization at 0.000 μB per formula unit.